! In | Alexandria | PBE | relaxed; values from VASP
! ΔE to the lowest computed polymorph, eV per atom: 0.083
! E_form, eV/f.u.: 0.1
! Calculated density, Mg/m³: 6.34
! Electronic total energy, eV/atom: -2.66
! Space-group type: Cmce (64)
&SYSTEM
  ibrav = 0, nat = 4, ntyp = 1
/
ATOMIC_SPECIES
In 114.82 In.upf
CELL_PARAMETERS angstrom
2.579 -4.476 0.000
2.579 4.476 0.000
0.000 0.000 5.212
ATOMIC_POSITIONS angstrom
In 2.579 3.083 4.809
In 2.579 1.393 2.203
In 2.579 -1.393 3.009
In 2.579 -3.083 0.403